[1]
# CsThCdTe4 GGA-PBE relaxed
data_CsThCdTe4
_chemical_formula_sum 'Cs2 Th2 Cd2 Te8'
_space_group_name_H-M_alt 'P 1 21/m 1'
_space_group_IT_number 11
_space_group_name_Hall '-P 2yb'
_cell_length_a 7.9942
_cell_length_b 6.5650
_cell_length_c 10.9621
_cell_angle_alpha 90.00
_cell_angle_beta 108.41
_cell_angle_gamma 90.00
loop_
_atom_site_label
_atom_site_fract_x
_atom_site_fract_y
_atom_site_fract_z
Cs1 0.2341 0.2500 0.0498
Th1 0.2635 0.2500 0.5522
Cd1 0.2662 0.7500 0.3216
Te1 0.0275 0.5120 0.6929
Te2 0.4378 0.7500 0.5898
Te3 0.4742 0.7500 0.1661
# Density in g/cm3: 6.01
# Total moment in μB/f.u.: 0.0
# Total DFT energy (no corrections) in eV per cell: -55.914

***

[2]
# CsTlCdTe GGA-PBE relaxed
data_CsTlCdTe
_chemical_formula_sum 'Cs2 Tl2 Cd2 Te2'
_space_group_name_H-M_alt 'C 1 m 1'
_space_group_IT_number 8
_space_group_name_Hall 'C -2y'
_cell_length_a 10.5079
_cell_length_b 4.8579
_cell_length_c 7.0610
_cell_angle_alpha 90.00
_cell_angle_beta 101.85
_cell_angle_gamma 90.00
loop_
_atom_site_label
_atom_site_fract_x
_atom_site_fract_y
_atom_site_fract_z
Cs1 0.0000 0.0000 0.0000
Tl1 0.2593 0.0000 0.6175
Cd1 0.0242 0.5000 0.5237
Te1 0.2394 0.5000 0.3096
# Density in g/cm3: 5.44
# Energy above the most stable polymorph in this dataset in meV/atom: 12
# Total moment in μB/f.u.: 0.0
# Total DFT energy (no corrections) in eV per cell: -17.766

***

[3]
# CsTlCdTe2 GGA-PBE relaxed
data_CsTlCdTe2
_chemical_formula_sum 'Cs4 Tl4 Cd4 Te8'
_space_group_name_H-M_alt 'C 1 2/m 1'
_space_group_IT_number 12
_space_group_name_Hall '-C 2y'
_cell_length_a 19.1903
_cell_length_b 4.7893
_cell_length_c 11.7846
_cell_angle_alpha 90.00
_cell_angle_beta 125.31
_cell_angle_gamma 90.00
loop_
_atom_site_label
_atom_site_fract_x
_atom_site_fract_y
_atom_site_fract_z
Cs1 0.2111 0.0000 0.1613
Tl1 0.1181 0.5000 0.3413
Cd1 0.0519 0.0000 0.6825
Te1 0.0922 0.5000 0.8475
Te2 0.1338 0.0000 0.5361
# Density in g/cm3: 5.30
# Total moment in μB/f.u.: 0.0
# Total DFT energy (no corrections) in eV per cell: -54.087

***

[4]
# CsTlCdTe GGA-PBE relaxed
data_CsTlCdTe
_chemical_formula_sum 'Cs1 Tl1 Cd1 Te1'
_space_group_name_H-M_alt 'P 1 m 1'
_space_group_IT_number 6
_space_group_name_Hall 'P -2y'
_cell_length_a 4.6114
_cell_length_b 4.8914
_cell_length_c 7.5523
_cell_angle_alpha 90.00
_cell_angle_beta 90.38
_cell_angle_gamma 90.00
loop_
_atom_site_label
_atom_site_fract_x
_atom_site_fract_y
_atom_site_fract_z
Cs1 0.0000 0.0000 0.0000
Tl1 0.0066 0.5000 0.5513
Cd1 0.5044 0.0000 0.5092
Te1 0.5026 0.5000 0.2411
# Density in g/cm3: 5.63
# Energy above the most stable polymorph in this dataset in meV/atom: 15
# Total moment in μB/f.u.: 0.0
# Total DFT energy (no corrections) in eV per cell: -8.871

***

[5]
# CsTlCdTe GGA-PBE relaxed
data_CsTlCdTe
_chemical_formula_sum 'Cs2 Tl2 Cd2 Te2'
_space_group_name_H-M_alt 'I m m 2'
_space_group_IT_number 44
_space_group_name_Hall 'I 2 -2'
_cell_length_a 4.6845
_cell_length_b 5.9563
_cell_length_c 12.5524
_cell_angle_alpha 90.00
_cell_angle_beta 90.00
_cell_angle_gamma 90.00
loop_
_atom_site_label
_atom_site_fract_x
_atom_site_fract_y
_atom_site_fract_z
Cs1 0.0000 0.0000 0.0000
Tl1 0.0000 0.5000 0.7648
Cd1 0.0000 0.0000 0.6735
Te1 0.0000 0.0000 0.4297
# Density in g/cm3: 5.47
# Energy above the most stable polymorph in this dataset in meV/atom: 0
# Total moment in μB/f.u.: 0.0
# Total DFT energy (no corrections) in eV per cell: -17.865

***

[6]
# Cs3Tm2CdTe6 GGA-PBE relaxed
data_Cs3Tm2CdTe6
_chemical_formula_sum 'Cs6 Tm4 Cd2 Te12'
_space_group_name_H-M_alt 'C 1 2/m 1'
_space_group_IT_number 12
_space_group_name_Hall '-C 2y'
_cell_length_a 7.7830
_cell_length_b 13.4776
_cell_length_c 9.3487
_cell_angle_alpha 90.00
_cell_angle_beta 106.05
_cell_angle_gamma 90.00
loop_
_atom_site_label
_atom_site_fract_x
_atom_site_fract_y
_atom_site_fract_z
Cs1 0.0000 0.0000 0.0000
Cs2 0.0000 0.3348 0.0000
Tm1 0.0000 0.1669 0.5000
Cd1 0.0000 0.5000 0.5000
Te1 0.2251 0.0000 0.6866
Te2 0.2311 0.3314 0.6872
# Density in g/cm3: 5.69
# Total moment in μB/f.u.: 0.0
# Total DFT energy (no corrections) in eV per cell: -87.401

***

[7]
# CsUCdTe4 GGA-PBE relaxed
data_CsUCdTe4
_chemical_formula_sum 'Cs2 U2 Cd2 Te8'
_space_group_name_H-M_alt 'P 1 21/m 1'
_space_group_IT_number 11
_space_group_name_Hall '-P 2yb'
_cell_length_a 7.2793
_cell_length_b 7.7713
_cell_length_c 9.9554
_cell_angle_alpha 90.00
_cell_angle_beta 95.59
_cell_angle_gamma 90.00
loop_
_atom_site_label
_atom_site_fract_x
_atom_site_fract_y
_atom_site_fract_z
Cs1 0.2186 0.2500 0.0386
U1 0.1757 0.7500 0.4492
Cd1 0.3452 0.2500 0.6472
Te1 0.0841 0.5186 0.6921
Te2 0.3294 0.7500 0.1778
Te3 0.4619 0.2500 0.3888
# Density in g/cm3: 5.89
# Total moment in μB/f.u.: 1.0
# Total DFT energy (no corrections) in eV per cell: -59.589

***

[8]
# Cs2UCdTe4 GGA-PBE relaxed
data_Cs2UCdTe4
_chemical_formula_sum 'Cs16 U8 Cd8 Te32'
_space_group_name_H-M_alt 'F d d d'
_space_group_IT_number 70
_cell_length_a 6.9394
_cell_length_b 16.0585
_cell_length_c 28.1668
_cell_angle_alpha 90.00
_cell_angle_beta 90.00
_cell_angle_gamma 90.00
loop_
_space_group_symop_operation_xyz
'x,y,z'
'-x,-y,-z'
'-x+1/4,-y+1/4,z'
'x+1/4,y+1/4,-z'
'x,-y+1/4,-z+1/4'
'-x,y+1/4,z+1/4'
'-x+1/4,y,-z+1/4'
'x+1/4,-y,z+1/4'
'x,y+1/2,z+1/2'
'-x,-y+1/2,-z+1/2'
'-x+1/4,-y+3/4,z+1/2'
'x+1/4,y+3/4,-z+1/2'
'x,-y+3/4,-z+3/4'
'-x,y+3/4,z+3/4'
'-x+1/4,y+1/2,-z+3/4'
'x+1/4,-y+1/2,z+3/4'
'x+1/2,y,z+1/2'
'-x+1/2,-y,-z+1/2'
'-x+3/4,-y+1/4,z+1/2'
'x+3/4,y+1/4,-z+1/2'
'x+1/2,-y+1/4,-z+3/4'
'-x+1/2,y+1/4,z+3/4'
'-x+3/4,y,-z+3/4'
'x+3/4,-y,z+3/4'
'x+1/2,y+1/2,z'
'-x+1/2,-y+1/2,-z'
'-x+3/4,-y+3/4,z'
'x+3/4,y+3/4,-z'
'x+1/2,-y+3/4,-z+1/4'
'-x+1/2,y+3/4,z+1/4'
'-x+3/4,y+1/2,-z+1/4'
'x+3/4,-y+1/2,z+1/4'
loop_
_atom_site_label
_atom_site_fract_x
_atom_site_fract_y
_atom_site_fract_z
Cs1 0.1250 0.1250 0.3052
U1 0.1250 0.1250 0.1250
Cd1 0.1250 0.1250 0.6250
Te1 0.1232 0.2677 0.8192
# Density in g/cm3: 4.77
# Total moment in μB/f.u.: 2.0
# Total DFT energy (no corrections) in eV per cell: -257.079

***

[9]
# Cs2Zn2CdTe4 GGA-PBE relaxed
data_Cs2Zn2CdTe4
_chemical_formula_sum 'Cs4 Zn4 Cd2 Te8'
_space_group_name_H-M_alt 'C 1 2/m 1'
_space_group_IT_number 12
_space_group_name_Hall '-C 2y'
_cell_length_a 17.9512
_cell_length_b 4.4092
_cell_length_c 8.7373
_cell_angle_alpha 90.00
_cell_angle_beta 108.25
_cell_angle_gamma 90.00
loop_
_atom_site_label
_atom_site_fract_x
_atom_site_fract_y
_atom_site_fract_z
Cs1 0.1264 0.0000 0.0389
Zn1 0.1733 0.5000 0.4789
Cd1 0.0000 0.0000 0.5000
Te1 0.0250 0.5000 0.2883
Te2 0.2104 0.0000 0.6709
# Density in g/cm3: 5.16
# Total moment in μB/f.u.: 0.0
# Total DFT energy (no corrections) in eV per cell: -47.620

***

[10]
# CsThCd17 GGA-PBE relaxed
data_CsThCd17
_chemical_formula_sum 'Cs3 Th3 Cd51'
_space_group_name_H-M_alt 'R 3 m'
_space_group_IT_number 160
_space_group_name_Hall 'R 3 -2"'
_cell_length_a 10.3061
_cell_length_b 10.3061
_cell_length_c 15.2451
_cell_angle_alpha 90.00
_cell_angle_beta 90.00
_cell_angle_gamma 120.00
loop_
_atom_site_label
_atom_site_fract_x
_atom_site_fract_y
_atom_site_fract_z
Cs1 0.0000 0.0000 0.0000
Th1 0.0000 0.0000 0.3325
Cd1 0.0000 0.0000 0.5556
Cd2 0.0000 0.0000 0.7528
Cd3 0.0405 0.3697 0.3294
Cd4 0.1745 0.3490 0.1397
Cd5 0.1765 0.3529 0.4999
Cd6 0.1869 0.3737 0.8493
# Density in g/cm3: 8.08
# Total moment in μB/f.u.: 0.0
# Total DFT energy (no corrections) in eV per cell: -73.785

***

[11]
# Cs3TiCd GGA-PBE relaxed
data_Cs3TiCd
_chemical_formula_sum 'Cs3 Ti1 Cd1'
_space_group_name_H-M_alt 'P m -3 m'
_space_group_IT_number 221
_space_group_name_Hall '-P 4 2 3'
_cell_length_a 6.8687
_cell_length_b 6.8687
_cell_length_c 6.8687
_cell_angle_alpha 90.00
_cell_angle_beta 90.00
_cell_angle_gamma 90.00
loop_
_atom_site_label
_atom_site_fract_x
_atom_site_fract_y
_atom_site_fract_z
Cs1 0.0000 0.0000 0.5000
Ti1 0.0000 0.0000 0.0000
Cd1 0.5000 0.5000 0.5000
# Density in g/cm3: 2.86
# Total moment in μB/f.u.: 5.0
# Total DFT energy (no corrections) in eV per cell: -7.054

***

[12]
# CsTi2Cd GGA-PBE relaxed
data_CsTi2Cd
_chemical_formula_sum 'Cs4 Ti8 Cd4'
_space_group_name_H-M_alt 'I -4 2 d'
_space_group_IT_number 122
_space_group_name_Hall 'I -4 2bw'
_cell_length_a 4.7884
_cell_length_b 4.7884
_cell_length_c 22.3368
_cell_angle_alpha 90.00
_cell_angle_beta 90.00
_cell_angle_gamma 90.00
loop_
_atom_site_label
_atom_site_fract_x
_atom_site_fract_y
_atom_site_fract_z
Cs1 0.0000 0.0000 0.0000
Ti1 0.0531 0.2500 0.6250
Cd1 0.0000 0.0000 0.5000
# Density in g/cm3: 4.42
# Total moment in μB/f.u.: 0.0
# Total DFT energy (no corrections) in eV per cell: -52.372